[1]
Density functional theory data (PBE) for a relaxed structure of Dy4Te2IrS.

Calculated values
SG	P2/m
raw formation energy	-131.8	kJ/mol of atoms
DFT total energy	-48.6	eV/cell
M_tot	0.00	μB/f.u.

abc: 7.299 4.097 7.451
angles: 90.00 108.39 90.00
Atoms (fractional coordinates):
Dy 0.225 0.000 0.205
Dy 0.256 0.500 0.789
Dy 0.744 0.500 0.211
Dy 0.775 0.000 0.795
Te 0.000 0.000 0.500
Te 0.500 0.500 0.500
Ir 0.000 0.500 0.000
S 0.500 0.000 0.000

***

[2]
Density functional theory data (PBE) for a relaxed structure of DyThIrS.

Calculated values
SG	R3m
raw formation energy	-123.3	kJ/mol of atoms
DFT total energy	-30.1	eV/cell
M_tot	0.00	μB/f.u.

abc: 7.658 7.658 7.658
angles: 29.78 29.78 29.78
Atoms (fractional coordinates):
Dy 0.000 0.000 0.000
Th 0.180 0.180 0.180
Ir 0.589 0.589 0.589
S 0.418 0.418 0.418

***

[3]
Density functional theory data (PBE) for a relaxed structure of Dy6Sb2Ir.

Calculated values
SG	P4_2/mnm
raw formation energy	-43.2	kJ/mol of atoms
DFT total energy	-97.5	eV/cell
M_tot	0.00	μB/f.u.

abc: 6.811 6.811 13.444
angles: 90.00 90.00 90.00
Atoms (fractional coordinates):
Dy 0.188 0.188 0.152
Dy 0.188 0.188 0.848
Dy 0.219 0.219 0.500
Dy 0.281 0.719 0.000
Dy 0.312 0.688 0.348
Dy 0.312 0.688 0.652
Dy 0.688 0.312 0.348
Dy 0.688 0.312 0.652
Dy 0.719 0.281 0.000
Dy 0.781 0.781 0.500
Dy 0.812 0.812 0.152
Dy 0.812 0.812 0.848
Sb 0.000 0.000 0.334
Sb 0.000 0.000 0.666
Sb 0.500 0.500 0.166
Sb 0.500 0.500 0.834
Ir 0.000 0.000 0.000
Ir 0.500 0.500 0.500

***

[4]
Density functional theory data (PBE) for a relaxed structure of Dy4SbIr2.

Calculated values
SG	Imma
raw formation energy	-64.9	kJ/mol of atoms
DFT total energy	-89.9	eV/cell
M_tot	0.00	μB/f.u.

abc: 8.057 8.057 8.057
angles: 110.95 110.88 106.61
Atoms (fractional coordinates):
Dy 0.224 0.289 0.565
Dy 0.224 0.659 0.935
Dy 0.290 0.225 0.065
Dy 0.341 0.775 0.565
Dy 0.659 0.225 0.435
Dy 0.710 0.775 0.935
Dy 0.776 0.341 0.065
Dy 0.776 0.711 0.435
Sb 0.124 0.874 0.250
Sb 0.876 0.126 0.750
Ir 0.000 0.500 0.500
Ir 0.500 0.000 0.000
Ir 0.500 0.500 0.000
Ir 0.500 0.500 0.500

***

[5]
Density functional theory data (PBE) for a relaxed structure of Dy6Sb3Ir.

Calculated values
SG	Cmc2_1
raw formation energy	-64.2	kJ/mol of atoms
DFT total energy	-111.0	eV/cell
M_tot	0.15	μB/f.u.

abc: 9.181 9.181 7.426
angles: 90.00 90.00 104.82
Atoms (fractional coordinates):
Dy 0.002 0.998 0.500
Dy 0.097 0.586 0.925
Dy 0.246 0.754 0.440
Dy 0.286 0.369 0.403
Dy 0.369 0.286 0.903
Dy 0.414 0.903 0.925
Dy 0.586 0.097 0.425
Dy 0.631 0.714 0.403
Dy 0.714 0.631 0.903
Dy 0.754 0.246 0.940
Dy 0.903 0.414 0.425
Dy 0.998 0.002 0.000
Sb 0.071 0.290 0.730
Sb 0.290 0.071 0.230
Sb 0.403 0.597 0.103
Sb 0.597 0.403 0.603
Sb 0.710 0.929 0.730
Sb 0.929 0.710 0.230
Ir 0.145 0.855 0.747
Ir 0.855 0.145 0.247

***

[6]
Density functional theory data (PBE) for a relaxed structure of Dy4Sb2Ir.

Calculated values
SG	C2/m
raw formation energy	-81.3	kJ/mol of atoms
DFT total energy	-41.4	eV/cell
M_tot	0.00	μB/f.u.

abc: 6.155 6.155 8.682
angles: 117.81 117.81 41.92
Atoms (fractional coordinates):
Dy 0.070 0.070 0.352
Dy 0.335 0.335 0.943
Dy 0.665 0.665 0.057
Dy 0.930 0.930 0.648
Sb 0.346 0.346 0.339
Sb 0.654 0.654 0.661
Ir 0.000 0.000 0.000